1.
# Y2Hf4C3S3 GGA-PBE optimized geometry
# E: -9.0192 eV per atom
data_Y2Hf4C3S3
_chemical_formula_sum 'Y4 Hf8 C6 S6'
_cell_length_a 6.022
_cell_length_b 6.022
_cell_length_c 12.814
_cell_angle_alpha 103.53
_cell_angle_beta 103.53
_cell_angle_gamma 60.03
_symmetry_space_group_name_H-M 'P 1'
_symmetry_Int_Tables_number 1
loop_
_symmetry_equiv_pos_as_xyz
'x,y,z'
loop_
_atom_site_label
_atom_site_fract_x
_atom_site_fract_y
_atom_site_fract_z
_atom_site_occupancy
Hf1 0.972 0.796 0.903 1
Y1 0.537 0.375 0.609 1
S1 0.062 0.938 0.250 1
S2 0.416 0.228 0.249 1
C1 0.677 0.145 0.000 1
C2 0.323 0.855 0.000 1
C3 0.855 0.323 0.500 1
Hf2 0.700 0.861 0.097 1
Y2 0.463 0.625 0.391 1
Hf3 0.139 0.300 0.403 1
S3 0.772 0.584 0.251 1
Hf4 0.300 0.139 0.903 1
S4 0.228 0.416 0.749 1
Hf5 0.796 0.972 0.403 1
Y3 0.375 0.537 0.109 1
S5 0.938 0.062 0.750 1
C4 0.145 0.677 0.500 1
Hf6 0.204 0.028 0.597 1
Y4 0.625 0.463 0.891 1
Hf7 0.861 0.700 0.597 1
C5 0.500 0.000 0.500 1
C6 0.000 0.500 0.000 1
Hf8 0.028 0.204 0.097 1
S6 0.584 0.772 0.751 1

---

2.
# La2Co2W3 GGA-PBE optimized geometry
# formation enthalpy at 0 K: 27 kJ/mol of atoms
# E: -8.7130 eV per atom
data_La2Co2W3
_chemical_formula_sum 'La2 Co2 W3'
_cell_length_a 8.584
_cell_length_b 8.584
_cell_length_c 8.584
_cell_angle_alpha 29.39
_cell_angle_beta 29.39
_cell_angle_gamma 29.39
_symmetry_space_group_name_H-M 'P 1'
_symmetry_Int_Tables_number 1
loop_
_symmetry_equiv_pos_as_xyz
'x,y,z'
loop_
_atom_site_label
_atom_site_fract_x
_atom_site_fract_y
_atom_site_fract_z
_atom_site_occupancy
W1 0.331 0.331 0.331 1
La1 0.190 0.190 0.190 1
Co1 0.521 0.521 0.521 1
W2 0.924 0.924 0.924 1
W3 0.626 0.626 0.626 1
La2 0.761 0.761 0.761 1
Co2 0.022 0.022 0.022 1

---

3.
# MgNbTeAs GGA-PBE optimized geometry
# E: -4.4077 eV per atom
# energy relative to the lowest polymorph listed for this composition: 0.511 eV per atom
data_MgNbTeAs
_chemical_formula_sum 'Mg1 Nb1 Te1 As1'
_cell_length_a 4.892
_cell_length_b 4.892
_cell_length_c 4.892
_cell_angle_alpha 60.00
_cell_angle_beta 60.00
_cell_angle_gamma 60.00
_symmetry_space_group_name_H-M 'P 1'
_symmetry_Int_Tables_number 1
loop_
_symmetry_equiv_pos_as_xyz
'x,y,z'
loop_
_atom_site_label
_atom_site_fract_x
_atom_site_fract_y
_atom_site_fract_z
_atom_site_occupancy
Te1 0.000 0.000 0.000 1
Nb1 0.500 0.500 0.500 1
Mg1 0.750 0.750 0.750 1
As1 0.250 0.250 0.250 1

---

4.
# RbTlMo GGA-PBE optimized geometry
# E: -2.8689 eV per atom
# energy relative to the lowest polymorph listed for this composition: 0.344 eV per atom
data_RbTlMo
_chemical_formula_sum 'Rb1 Tl1 Mo1'
_cell_length_a 5.617
_cell_length_b 5.617
_cell_length_c 5.617
_cell_angle_alpha 60.00
_cell_angle_beta 60.00
_cell_angle_gamma 60.00
_symmetry_space_group_name_H-M 'P 1'
_symmetry_Int_Tables_number 1
loop_
_symmetry_equiv_pos_as_xyz
'x,y,z'
loop_
_atom_site_label
_atom_site_fract_x
_atom_site_fract_y
_atom_site_fract_z
_atom_site_occupancy
Tl1 0.750 0.750 0.750 1
Rb1 0.000 0.000 0.000 1
Mo1 0.250 0.250 0.250 1

---

5.
# BaReO3 GGA-PBE optimized geometry
# E: -7.7816 eV per atom
data_BaReO3
_chemical_formula_sum 'Ba4 Re4 O12'
_cell_length_a 5.712
_cell_length_b 5.717
_cell_length_c 8.063
_cell_angle_alpha 90.00
_cell_angle_beta 90.00
_cell_angle_gamma 90.00
_symmetry_space_group_name_H-M 'P 1'
_symmetry_Int_Tables_number 1
loop_
_symmetry_equiv_pos_as_xyz
'x,y,z'
loop_
_atom_site_label
_atom_site_fract_x
_atom_site_fract_y
_atom_site_fract_z
_atom_site_occupancy
Re1 0.500 0.000 0.500 1
Re2 0.000 0.500 0.000 1
O1 0.501 0.999 0.750 1
Re3 0.500 0.000 0.000 1
Re4 0.000 0.500 0.500 1
Ba1 0.500 0.501 0.250 1
O2 0.249 0.249 0.999 1
O3 0.251 0.749 0.999 1
O4 0.499 0.001 0.250 1
O5 0.999 0.499 0.750 1
O6 0.751 0.751 0.001 1
O7 0.751 0.751 0.499 1
Ba2 0.000 0.001 0.250 1
O8 0.001 0.501 0.250 1
Ba3 0.000 0.999 0.750 1
O9 0.249 0.249 0.501 1
O10 0.749 0.251 0.001 1
Ba4 0.500 0.499 0.750 1
O11 0.251 0.749 0.501 1
O12 0.749 0.251 0.499 1

---

6.
# TmUC2 GGA-PBE optimized geometry
# E: -8.8651 eV per atom
data_TmUC2
_chemical_formula_sum 'Tm1 U1 C2'
_cell_length_a 3.555
_cell_length_b 3.555
_cell_length_c 5.976
_cell_angle_alpha 107.29
_cell_angle_beta 107.29
_cell_angle_gamma 60.00
_symmetry_space_group_name_H-M 'P 1'
_symmetry_Int_Tables_number 1
loop_
_symmetry_equiv_pos_as_xyz
'x,y,z'
loop_
_atom_site_label
_atom_site_fract_x
_atom_site_fract_y
_atom_site_fract_z
_atom_site_occupancy
Tm1 0.500 0.500 0.500 1
U1 0.000 0.000 0.000 1
C1 0.739 0.739 0.219 1
C2 0.261 0.261 0.781 1

---

7.
# Tm3Ta3W2N12 GGA-PBE optimized geometry
# E: -9.7309 eV per atom
data_Tm3Ta3W2N12
_chemical_formula_sum 'Tm12 Ta12 W8 N48'
_cell_length_a 11.007
_cell_length_b 11.007
_cell_length_c 11.007
_cell_angle_alpha 109.47
_cell_angle_beta 109.47
_cell_angle_gamma 109.47
_symmetry_space_group_name_H-M 'P 1'
_symmetry_Int_Tables_number 1
loop_
_symmetry_equiv_pos_as_xyz
'x,y,z'
loop_
_atom_site_label
_atom_site_fract_x
_atom_site_fract_y
_atom_site_fract_z
_atom_site_occupancy
W1 0.000 0.000 0.500 1
Tm1 0.875 0.625 0.250 1
N1 0.527 0.618 0.702 1
Ta1 0.875 0.250 0.125 1
W2 0.000 0.500 0.000 1
N2 0.092 0.973 0.676 1
N3 0.027 0.202 0.118 1
Tm2 0.875 0.750 0.625 1
N4 0.324 0.916 0.298 1
N5 0.092 0.618 0.416 1
N6 0.408 0.084 0.882 1
N7 0.382 0.298 0.473 1
Ta2 0.125 0.750 0.875 1
N8 0.473 0.382 0.298 1
Tm3 0.625 0.250 0.875 1
N9 0.798 0.416 0.824 1
N10 0.702 0.527 0.618 1
N11 0.592 0.916 0.118 1
Tm4 0.125 0.375 0.750 1
Ta3 0.625 0.375 0.250 1
N12 0.824 0.798 0.416 1
Ta4 0.250 0.125 0.875 1
N13 0.416 0.824 0.798 1
W3 0.500 0.500 0.000 1
Tm5 0.625 0.875 0.750 1
N14 0.298 0.324 0.916 1
W4 0.500 0.000 0.500 1
N15 0.118 0.592 0.916 1
Tm6 0.750 0.125 0.375 1
N16 0.584 0.908 0.382 1
N17 0.027 0.324 0.908 1
N18 0.473 0.592 0.176 1
N19 0.527 0.408 0.824 1
Tm7 0.750 0.625 0.875 1
N20 0.084 0.882 0.408 1
N21 0.202 0.584 0.176 1
N22 0.324 0.908 0.027 1
Tm8 0.250 0.875 0.625 1
N23 0.676 0.084 0.702 1
N24 0.118 0.027 0.202 1
Ta5 0.375 0.625 0.750 1
Ta6 0.750 0.375 0.625 1
W5 0.500 0.500 0.500 1
N25 0.973 0.676 0.092 1
N26 0.592 0.176 0.473 1
N27 0.798 0.882 0.973 1
N28 0.908 0.027 0.324 1
N29 0.882 0.973 0.798 1
N30 0.202 0.118 0.027 1
N31 0.382 0.584 0.908 1
Ta7 0.750 0.875 0.125 1
Tm9 0.125 0.250 0.375 1
Ta8 0.375 0.250 0.625 1
N32 0.084 0.702 0.676 1
N33 0.176 0.473 0.592 1
N34 0.973 0.798 0.882 1
Ta9 0.875 0.125 0.750 1
N35 0.618 0.416 0.092 1
W6 0.500 0.000 0.000 1
N36 0.882 0.408 0.084 1
N37 0.916 0.298 0.324 1
N38 0.702 0.676 0.084 1
N39 0.584 0.176 0.202 1
N40 0.908 0.382 0.584 1
N41 0.298 0.473 0.382 1
N42 0.824 0.527 0.408 1
Tm10 0.375 0.750 0.125 1
Tm11 0.375 0.125 0.250 1
N43 0.408 0.824 0.527 1
Ta10 0.250 0.625 0.375 1
N44 0.676 0.092 0.973 1
W7 0.000 0.500 0.500 1
Tm12 0.250 0.375 0.125 1
N45 0.618 0.702 0.527 1
Ta11 0.625 0.750 0.375 1
N46 0.916 0.118 0.592 1
N47 0.176 0.202 0.584 1
W8 0.000 0.000 0.000 1
Ta12 0.125 0.875 0.250 1
N48 0.416 0.092 0.618 1

---

8.
# LiNiB2 GGA-PBE optimized geometry
# E: -4.8002 eV per atom
data_LiNiB2
_chemical_formula_sum 'Li1 Ni1 B2'
_cell_length_a 3.500
_cell_length_b 3.500
_cell_length_c 3.500
_cell_angle_alpha 60.00
_cell_angle_beta 60.00
_cell_angle_gamma 60.00
_symmetry_space_group_name_H-M 'P 1'
_symmetry_Int_Tables_number 1
loop_
_symmetry_equiv_pos_as_xyz
'x,y,z'
loop_
_atom_site_label
_atom_site_fract_x
_atom_site_fract_y
_atom_site_fract_z
_atom_site_occupancy
Ni1 0.000 0.000 0.000 1
B1 0.250 0.250 0.250 1
B2 0.500 0.500 0.500 1
Li1 0.750 0.750 0.750 1

---

9.
# KCuNiW GGA-PBE optimized geometry
# E: -4.1236 eV per atom
# energy relative to the lowest polymorph listed for this composition: 0.274 eV per atom
data_KCuNiW
_chemical_formula_sum 'K1 Cu1 Ni1 W1'
_cell_length_a 4.469
_cell_length_b 4.469
_cell_length_c 4.469
_cell_angle_alpha 60.00
_cell_angle_beta 60.00
_cell_angle_gamma 60.00
_symmetry_space_group_name_H-M 'P 1'
_symmetry_Int_Tables_number 1
loop_
_symmetry_equiv_pos_as_xyz
'x,y,z'
loop_
_atom_site_label
_atom_site_fract_x
_atom_site_fract_y
_atom_site_fract_z
_atom_site_occupancy
Cu1 0.750 0.750 0.750 1
W1 0.000 0.000 0.000 1
K1 0.250 0.250 0.250 1
Ni1 0.500 0.500 0.500 1

---

10.
# AgHg3As2Cl3 GGA-PBE optimized geometry
# E: -2.4266 eV per atom
data_AgHg3As2Cl3
_chemical_formula_sum 'Ag6 Hg18 As12 Cl18'
_cell_length_a 9.361
_cell_length_b 13.382
_cell_length_c 14.035
_cell_angle_alpha 99.09
_cell_angle_beta 109.48
_cell_angle_gamma 110.47
_symmetry_space_group_name_H-M 'P 1'
_symmetry_Int_Tables_number 1
loop_
_symmetry_equiv_pos_as_xyz
'x,y,z'
loop_
_atom_site_label
_atom_site_fract_x
_atom_site_fract_y
_atom_site_fract_z
_atom_site_occupancy
As1 0.518 0.315 0.448 1
Hg1 0.832 0.663 0.001 1
Cl1 0.500 0.500 0.000 1
As2 0.927 0.515 0.054 1
Hg2 0.000 0.000 0.000 1
Hg3 0.835 0.169 0.498 1
Ag1 0.671 0.063 0.725 1
Cl2 0.391 0.771 0.241 1
As3 0.808 0.351 0.552 1
Hg4 0.333 0.669 0.998 1
Cl3 0.121 0.271 0.741 1
Hg5 0.133 0.588 0.251 1
Cl4 0.136 0.815 0.939 1
Cl5 0.404 0.905 0.751 1
As4 0.142 0.015 0.554 1
Hg6 0.549 0.750 0.750 1
Hg7 0.000 0.500 0.500 1
Cl6 0.752 0.405 0.251 1
As5 0.255 0.185 0.052 1
Hg8 0.867 0.412 0.749 1
As6 0.073 0.485 0.946 1
Hg9 0.168 0.337 0.999 1
Ag2 0.384 0.437 0.775 1
Ag3 0.616 0.563 0.225 1
Cl7 0.117 0.315 0.439 1
As7 0.405 0.149 0.948 1
Cl8 0.500 0.000 0.500 1
Ag4 0.905 0.250 0.250 1
Cl9 0.248 0.595 0.749 1
As8 0.192 0.649 0.448 1
Cl10 0.879 0.729 0.259 1
Cl11 0.596 0.095 0.249 1
Hg10 0.206 0.088 0.751 1
Cl12 0.127 0.023 0.251 1
Hg11 0.500 0.000 0.000 1
As9 0.482 0.685 0.552 1
Cl13 0.873 0.977 0.749 1
Ag5 0.095 0.750 0.750 1
Hg12 0.794 0.912 0.249 1
Hg13 0.500 0.500 0.500 1
Cl14 0.648 0.523 0.751 1
Hg14 0.451 0.250 0.250 1
Hg15 0.667 0.331 0.002 1
Hg16 0.165 0.831 0.502 1
Cl15 0.864 0.185 0.061 1
Cl16 0.609 0.229 0.759 1
Cl17 0.352 0.477 0.249 1
As10 0.858 0.985 0.446 1
Cl18 0.883 0.685 0.561 1
Hg17 0.332 0.163 0.501 1
Hg18 0.668 0.837 0.499 1
Ag6 0.329 0.937 0.275 1
As11 0.745 0.815 0.948 1
As12 0.595 0.851 0.052 1

---

11.
# GdTlRe GGA-PBE optimized geometry
# E: -5.1783 eV per atom
# energy relative to the lowest polymorph listed for this composition: 0.341 eV per atom
data_GdTlRe
_chemical_formula_sum 'Gd1 Tl1 Re1'
_cell_length_a 4.851
_cell_length_b 4.851
_cell_length_c 4.851
_cell_angle_alpha 60.00
_cell_angle_beta 60.00
_cell_angle_gamma 60.00
_symmetry_space_group_name_H-M 'P 1'
_symmetry_Int_Tables_number 1
loop_
_symmetry_equiv_pos_as_xyz
'x,y,z'
loop_
_atom_site_label
_atom_site_fract_x
_atom_site_fract_y
_atom_site_fract_z
_atom_site_occupancy
Gd1 0.000 0.000 0.000 1
Re1 0.250 0.250 0.250 1
Tl1 0.750 0.750 0.750 1

---

12.
# Ho5Sn4 GGA-PBE optimized geometry
# E: -5.0169 eV per atom
data_Ho5Sn4
_chemical_formula_sum 'Ho10 Sn8'
_cell_length_a 9.291
_cell_length_b 9.291
_cell_length_c 6.506
_cell_angle_alpha 90.00
_cell_angle_beta 90.00
_cell_angle_gamma 120.00
_symmetry_space_group_name_H-M 'P 1'
_symmetry_Int_Tables_number 1
loop_
_symmetry_equiv_pos_as_xyz
'x,y,z'
loop_
_atom_site_label
_atom_site_fract_x
_atom_site_fract_y
_atom_site_fract_z
_atom_site_occupancy
Ho1 0.667 0.333 0.500 1
Ho2 0.272 0.000 0.250 1
Sn1 0.000 0.000 0.500 1
Sn2 0.000 0.000 0.000 1
Sn3 0.000 0.614 0.250 1
Ho3 0.333 0.667 0.500 1
Sn4 0.386 0.000 0.750 1
Sn5 0.000 0.386 0.750 1
Ho4 0.667 0.333 0.000 1
Sn6 0.614 0.000 0.250 1
Ho5 0.000 0.728 0.750 1
Ho6 0.728 0.728 0.250 1
Sn7 0.614 0.614 0.750 1
Sn8 0.386 0.386 0.250 1
Ho7 0.333 0.667 0.000 1
Ho8 0.272 0.272 0.750 1
Ho9 0.000 0.272 0.250 1
Ho10 0.728 0.000 0.750 1

---

13.
# NbCoTcSn GGA-PBE optimized geometry
# E: -7.9914 eV per atom
# energy relative to the lowest polymorph listed for this composition: 0.000 eV per atom
data_NbCoTcSn
_chemical_formula_sum 'Nb1 Co1 Tc1 Sn1'
_cell_length_a 4.468
_cell_length_b 4.468
_cell_length_c 4.468
_cell_angle_alpha 60.00
_cell_angle_beta 60.00
_cell_angle_gamma 60.00
_symmetry_space_group_name_H-M 'P 1'
_symmetry_Int_Tables_number 1
loop_
_symmetry_equiv_pos_as_xyz
'x,y,z'
loop_
_atom_site_label
_atom_site_fract_x
_atom_site_fract_y
_atom_site_fract_z
_atom_site_occupancy
Co1 0.750 0.750 0.750 1
Sn1 0.000 0.000 0.000 1
Nb1 0.500 0.500 0.500 1
Tc1 0.250 0.250 0.250 1

---

14.
# Gd2Er2SiI5 GGA-PBE optimized geometry
# E: -4.3242 eV per atom
# energy relative to the lowest polymorph listed for this composition: 0.000 eV per atom
data_Gd2Er2SiI5
_chemical_formula_sum 'Gd2 Er2 Si1 I5'
_cell_length_a 9.793
_cell_length_b 9.793
_cell_length_c 8.831
_cell_angle_alpha 102.38
_cell_angle_beta 102.38
_cell_angle_gamma 24.73
_symmetry_space_group_name_H-M 'P 1'
_symmetry_Int_Tables_number 1
loop_
_symmetry_equiv_pos_as_xyz
'x,y,z'
loop_
_atom_site_label
_atom_site_fract_x
_atom_site_fract_y
_atom_site_fract_z
_atom_site_occupancy
Si1 0.500 0.500 0.000 1
Er1 0.357 0.357 0.927 1
I1 0.827 0.827 0.164 1
Gd1 0.000 0.000 0.789 1
I2 0.173 0.173 0.836 1
Er2 0.643 0.643 0.073 1
I3 0.832 0.832 0.668 1
I4 0.168 0.168 0.332 1
Gd2 0.000 0.000 0.211 1
I5 0.500 0.500 0.500 1

---

15.
# TbSmGa2Br2 GGA-PBE optimized geometry
# E: -4.3639 eV per atom
data_TbSmGa2Br2
_chemical_formula_sum 'Tb1 Sm1 Ga2 Br2'
_cell_length_a 4.169
_cell_length_b 4.169
_cell_length_c 11.346
_cell_angle_alpha 90.00
_cell_angle_beta 90.00
_cell_angle_gamma 120.00
_symmetry_space_group_name_H-M 'P 1'
_symmetry_Int_Tables_number 1
loop_
_symmetry_equiv_pos_as_xyz
'x,y,z'
loop_
_atom_site_label
_atom_site_fract_x
_atom_site_fract_y
_atom_site_fract_z
_atom_site_occupancy
Ga1 0.333 0.667 0.531 1
Br1 0.667 0.333 0.837 1
Ga2 0.667 0.333 0.473 1
Br2 0.333 0.667 0.159 1
Tb1 0.000 0.000 0.682 1
Sm1 0.000 0.000 0.318 1

---

16.
# Sr2Ni3 GGA-PBE optimized geometry
# E: -4.1159 eV per atom
data_Sr2Ni3
_chemical_formula_sum 'Sr2 Ni3'
_cell_length_a 4.077
_cell_length_b 4.077
_cell_length_c 8.689
_cell_angle_alpha 90.00
_cell_angle_beta 90.00
_cell_angle_gamma 120.00
_symmetry_space_group_name_H-M 'P 1'
_symmetry_Int_Tables_number 1
loop_
_symmetry_equiv_pos_as_xyz
'x,y,z'
loop_
_atom_site_label
_atom_site_fract_x
_atom_site_fract_y
_atom_site_fract_z
_atom_site_occupancy
Ni1 0.333 0.667 0.997 1
Sr1 0.000 0.000 0.280 1
Ni2 0.000 0.000 0.960 1
Ni3 0.667 0.333 0.038 1
Sr2 0.667 0.333 0.726 1

---

17.
# TbCuAgSe3 GGA-PBE optimized geometry
# E: -4.3720 eV per atom
data_TbCuAgSe3
_chemical_formula_sum 'Tb2 Cu2 Ag2 Se6'
_cell_length_a 6.989
_cell_length_b 6.989
_cell_length_c 10.518
_cell_angle_alpha 90.00
_cell_angle_beta 90.00
_cell_angle_gamma 146.89
_symmetry_space_group_name_H-M 'P 1'
_symmetry_Int_Tables_number 1
loop_
_symmetry_equiv_pos_as_xyz
'x,y,z'
loop_
_atom_site_label
_atom_site_fract_x
_atom_site_fract_y
_atom_site_fract_z
_atom_site_occupancy
Se1 0.645 0.355 0.072 1
Cu1 0.517 0.483 0.250 1
Se2 0.907 0.093 0.250 1
Se3 0.645 0.355 0.428 1
Se4 0.093 0.907 0.750 1
Tb1 0.000 0.000 0.000 1
Se5 0.355 0.645 0.572 1
Se6 0.355 0.645 0.928 1
Cu2 0.483 0.517 0.750 1
Ag1 0.173 0.827 0.250 1
Tb2 0.000 0.000 0.500 1
Ag2 0.827 0.173 0.750 1

---

18.
# Ba2Cu4Pd GGA-PBE optimized geometry
# E: -3.0421 eV per atom
data_Ba2Cu4Pd
_chemical_formula_sum 'Ba2 Cu4 Pd1'
_cell_length_a 7.501
_cell_length_b 7.501
_cell_length_c 4.343
_cell_angle_alpha 90.00
_cell_angle_beta 90.00
_cell_angle_gamma 104.97
_symmetry_space_group_name_H-M 'P 1'
_symmetry_Int_Tables_number 1
loop_
_symmetry_equiv_pos_as_xyz
'x,y,z'
loop_
_atom_site_label
_atom_site_fract_x
_atom_site_fract_y
_atom_site_fract_z
_atom_site_occupancy
Pd1 0.000 0.000 0.000 1
Ba1 0.000 0.500 0.500 1
Cu1 0.866 0.866 0.500 1
Cu2 0.795 0.205 0.000 1
Cu3 0.134 0.134 0.500 1
Ba2 0.500 0.000 0.500 1
Cu4 0.205 0.795 0.000 1